Record 1
# PmBeAlNi

A geometry-optimized PmBeAlNi structure (GGA-PBE, Alexandria via LeMat-Bulk).

a b c (Å): 6.4002 6.4002 6.4002
angles (deg): 90.00 90.00 90.00
Space group F-43m (No. 216)
Asymmetric unit:
1 Pm 0.0000 0.0000 0.0000 (multiplicity 4)
2 Be 0.2500 0.2500 0.2500 (multiplicity 4)
3 Al 0.0000 0.0000 0.5000 (multiplicity 4)
4 Ni 0.2500 0.2500 0.7500 (multiplicity 4)

## Properties
- ΔH_f (0 K): -75 kJ/mol of formula units

***

Record 2
# HfAg2Ge

A geometry-optimized HfAg2Ge structure (GGA-PBE, Alexandria via LeMat-Bulk).

a b c (Å): 2.9565 2.9565 31.4733
angles (deg): 90.00 90.00 120.00
Space group R-3m (No. 166, hexagonal axes)
Asymmetric unit:
1 Hf 0.0000 0.0000 0.0000 (multiplicity 3)
2 Ag 0.0000 0.0000 0.0890 (multiplicity 6)
3 Ge 0.0000 0.0000 0.5000 (multiplicity 3)

## Properties
- ΔH_f (0 K): 118 kJ/mol of formula units

***

Record 3
# CrBr

A geometry-optimized CrBr structure (GGA-PBE, Alexandria via LeMat-Bulk).

a b c (Å): 2.9670 3.2855 8.8147
angles (deg): 90.00 90.00 90.00
Space group Pmmn (No. 59, origin choice 2)
Asymmetric unit:
1 Cr 0.2500 0.2500 0.0678 (multiplicity 2)
2 Br 0.2500 0.7500 0.7147 (multiplicity 2)

## Properties
- ΔE_f (raw): 0.23 eV per atom

***

Record 4
# SrMg2GaIr2

A geometry-optimized SrMg2GaIr2 structure (GGA-PBE, Alexandria via LeMat-Bulk).

a b c (Å): 4.7279 4.7279 6.1826
angles (deg): 90.00 90.00 90.00
Space group P4/mmm (No. 123)
Asymmetric unit:
1 Sr 0.0000 0.0000 0.0000 (multiplicity 1)
2 Mg 0.5000 0.5000 0.2652 (multiplicity 2)
3 Ga 0.0000 0.0000 0.5000 (multiplicity 1)
4 Ir 0.0000 0.5000 0.5000 (multiplicity 2)

## Properties
- ΔH_f (0 K): -100 kJ/mol of formula units